No. 1
TmTcOsW | PBE | optimized geometry

```
4
Lattice="0.0000 3.2238 3.2238 3.2238 0.0000 3.2238 3.2238 3.2238 0.0000" Properties=species:S:1:pos:R:3 pbc="T T T"
Tm 0.0000 0.0000 0.0000
Tc 4.8357 4.8357 4.8357
Os 1.6119 1.6119 1.6119
W 3.2238 3.2238 3.2238
```

Values from the calculation:
magnetization	0.00	Bohr magnetons per cell
DFT total energy	-9.826	eV per atom
E_form	-0.28	eV/f.u.

---

No. 2
Pu2InSb3Pd4 | PBE | optimized geometry

```
10
Lattice="4.4642 0.0000 0.0000 0.0000 4.4642 0.0000 0.0000 0.0000 11.2090" Properties=species:S:1:pos:R:3 pbc="T T T"
Pu 0.0000 2.2321 2.6645
Pu 2.2321 0.0000 8.5445
In 0.0000 0.0000 5.6045
Sb 0.0000 2.2321 9.7122
Sb 2.2321 0.0000 1.4969
Sb 2.2321 2.2321 5.6045
Pd 0.0000 0.0000 0.0000
Pd 0.0000 2.2321 7.1406
Pd 2.2321 0.0000 4.0684
Pd 2.2321 2.2321 0.0000
```

Values from the calculation:
magnetization	10.93	Bohr magnetons per cell
uncorrected formation energy	-0.564	eV per atom
DFT total energy	-7.018	eV per atom